Record 1
First-principles (GGA-PBE) data for a geometry-optimized NiAgW3 structure, as listed in Alexandria via LeMat-Bulk.

Properties
Crystal system ... cubic

abc: 4.4873 4.4873 4.4873
angles: 90.00 90.00 90.00
Closest atoms and distances in Å follow each position.
Sites, in units of the cell vectors:
Ni1 0.0000 0.0000 0.0000  6 W 2.24
Ag1 0.5000 0.5000 0.5000  12 W 3.17
W1 0.0000 0.0000 0.5000  2 Ni 2.24
W2 0.0000 0.5000 0.0000  2 Ni 2.24
W3 0.5000 0.0000 0.0000  2 Ni 2.24

Record 2
First-principles (GGA-PBE) data for a geometry-optimized Ni2AgW structure, as listed in Alexandria via LeMat-Bulk.

Properties
Crystal system ... tetragonal

abc: 2.7202 2.7202 7.5279
angles: 90.00 90.00 90.00
Closest atoms and distances in Å follow each position.
Sites, in units of the cell vectors:
Ni1 0.0000 0.0000 0.2354  4 W 2.62, 4 Ni 2.72, 4 Ag 2.77
Ni2 0.0000 0.0000 0.7646  4 W 2.62, 4 Ni 2.72, 4 Ag 2.77
Ag1 0.5000 0.5000 0.5000  4 Ag 2.72, 8 Ni 2.77
W1 0.5000 0.5000 0.0000  8 Ni 2.62, 4 W 2.72

Record 3
First-principles (GGA-PBE) data for a geometry-optimized Ni2AgW structure, as listed in Alexandria via LeMat-Bulk.

Properties
Crystal system ... tetragonal

abc: 3.6826 3.6826 8.0531
angles: 90.00 90.00 90.00
Closest atoms and distances in Å follow each position.
Sites, in units of the cell vectors:
Ni1 0.0000 0.0000 0.0000  4 Ag 2.60, 4 W 2.73, 4 Ni 2.73
Ni2 0.0000 0.5000 0.2500  4 W 2.60, 4 Ni 2.73, 4 Ag 2.73
Ni3 0.5000 0.0000 0.7500  4 W 2.60, 4 Ni 2.73, 4 Ag 2.73
Ni4 0.5000 0.5000 0.5000  4 Ag 2.60, 4 W 2.73, 4 Ni 2.73
Ag1 0.0000 0.0000 0.5000  8 Ni 2.60-2.73, 4 W 2.73
Ag2 0.5000 0.5000 0.0000  8 Ni 2.60-2.73, 4 W 2.73
W1 0.0000 0.5000 0.7500  8 Ni 2.60-2.73, 4 Ag 2.73
W2 0.5000 0.0000 0.2500  8 Ni 2.60-2.73, 4 Ag 2.73

Record 4
First-principles (GGA-PBE) data for a geometry-optimized Ni2AgW structure, as listed in Alexandria via LeMat-Bulk.

Properties
Crystal system ... orthorhombic

abc: 2.7411 4.3854 4.7380
angles: 90.00 90.00 90.00
Closest atoms and distances in Å follow each position.
Sites, in units of the cell vectors:
Ni1 0.0000 0.0000 0.0000  4 W 2.59, 6 Ni 2.74
Ni2 0.5000 0.0000 0.5000  4 Ag 2.59, 6 Ni 2.74
Ag1 0.0000 0.5000 0.5000  4 Ni 2.59, 4 W 2.74, 2 Ag 2.74
W1 0.5000 0.5000 0.0000  4 Ni 2.59, 4 Ag 2.74, 2 W 2.74

Number 1: relative energy among the computed polymorphs 0.0000 eV/atom. Number 2: relative energy among the computed polymorphs 0.0000 eV/atom. Number 3: relative energy among the computed polymorphs 0.2989 eV/atom. Number 4: relative energy among the computed polymorphs 0.4795 eV/atom.